(1)
Entry from the Alexandria database: Rb2NaHIr after structural relaxation (PBE).

a b c (Å): 6.285 6.285 3.624
angles (deg): 90.00 90.00 90.00
Site moments in Bohr magnetons follow the coordinates.
Element x y z (fractional)
H 0.000 0.000 0.500  0.00
Ir 0.500 0.500 0.500  0.74
Rb 0.500 0.000 0.000  -0.01
Rb 0.000 0.500 0.000  -0.01
Na 0.000 0.000 0.000  0.00

Values from the calculation:
Space group: P4/mmm, No. 123
Uncorrected energy, eV/f.u.: -11.5

---

(2)
Entry from the Alexandria database: Pm2OsO6 after structural relaxation (PBE).

a b c (Å): 5.514 6.104 7.639
angles (deg): 90.00 96.61 90.00
Site moments in Bohr magnetons follow the coordinates.
Element x y z (fractional)
O 0.864 0.729 0.576  0.07
O 0.136 0.271 0.424  0.07
O 0.354 0.557 0.765  0.08
O 0.203 0.342 0.053  0.10
O 0.364 0.771 0.076  0.07
O 0.703 0.158 0.553  0.10
O 0.797 0.658 0.947  0.10
O 0.636 0.229 0.924  0.07
O 0.646 0.443 0.235  0.08
O 0.297 0.842 0.447  0.10
O 0.146 0.057 0.735  0.08
O 0.854 0.943 0.265  0.08
Os 0.000 0.000 0.500  1.27
Os 0.500 0.500 0.000  1.27
Pm 0.041 0.592 0.245  0.03
Pm 0.459 0.092 0.255  0.03
Pm 0.959 0.408 0.755  0.03
Pm 0.541 0.908 0.745  0.03

Values from the calculation:
Formation energy without anion corrections, eV/atom: -2.3544
Space group: P2_1/c, No. 14
Uncorrected energy, eV/f.u.: -71.7

---

(3)
Entry from the Alexandria database: LaThHgGe after structural relaxation (PBE).

a b c (Å): 5.363 5.363 5.363
angles (deg): 60.00 60.00 60.00
Element x y z (fractional)
Hg 0.750 0.750 0.750
La 0.000 0.000 0.000
Th 0.500 0.500 0.500
Ge 0.250 0.250 0.250

Values from the calculation:
Space group: F-43m, No. 216
Uncorrected energy, eV/f.u.: -19.0

---

(4)
Entry from the Alexandria database: Rb2WIBr6 after structural relaxation (PBE).

a b c (Å): 8.542 8.542 8.549
angles (deg): 60.03 60.03 90.00
Site moments in Bohr magnetons follow the coordinates.
Element x y z (fractional)
Rb 0.750 0.250 0.500  0.00
Rb 0.250 0.750 0.500  0.00
Br 0.209 0.209 0.000  0.00
Br 0.209 0.791 0.000  0.00
Br 0.209 0.209 0.582  0.00
Br 0.791 0.209 0.000  0.00
Br 0.791 0.791 0.418  0.00
Br 0.791 0.791 0.000  0.00
W 0.000 0.000 0.000  1.02
I 0.500 0.500 0.000  -0.18

Values from the calculation:
Formation energy without anion corrections, eV/atom: -0.7914
Space group: I4/mmm, No. 139
Uncorrected energy, eV/f.u.: -34.4

---

(5)
Entry from the Alexandria database: Ce3ThHg2 after structural relaxation (PBE).

a b c (Å): 3.588 3.588 13.149
angles (deg): 90.00 90.00 90.00
Site moments in Bohr magnetons follow the coordinates.
Element x y z (fractional)
Ce 0.000 0.000 0.324  0.43
Ce 0.000 0.000 0.676  0.43
Ce 0.000 0.000 0.000  1.05
Hg 0.500 0.500 0.164  0.01
Hg 0.500 0.500 0.836  0.01
Th 0.500 0.500 0.500  -0.01

Values from the calculation:
Space group: P4/mmm, No. 123
Distance to the lowest polymorph of the same formula, eV per atom: 0.000
Uncorrected energy, eV/f.u.: -27.0

---

(6)
Entry from the Alexandria database: DyThPt2 after structural relaxation (PBE).

a b c (Å): 4.133 4.133 7.166
angles (deg): 73.24 73.24 60.00
Element x y z (fractional)
Pt 0.251 0.251 0.248
Pt 0.749 0.749 0.752
Th 0.500 0.500 0.500
Dy 0.000 0.000 0.000

Values from the calculation:
Space group: R-3m, No. 166
Distance to the lowest polymorph of the same formula, eV per atom: 0.064
Uncorrected energy, eV/f.u.: -29.0

---

Number 1: total magnetic moment 0.67 μB per cell. Number 2: total magnetic moment 4.01 μB per cell. Number 3: total magnetic moment 0.00 μB per cell. Number 4: total magnetic moment 1.00 μB per cell. Number 5: total magnetic moment 2.37 μB per cell. Number 6: total magnetic moment 0.00 μB per cell.